P.
Density functional theory data (PBE-GGA) for a relaxed Pm5HoEr crystal.

Density   7.4 Mg/m³

Cell and atoms, written as POSCAR:
```
Pm5HoEr
1.0
-3.3495 5.0254 1.1902
-6.8249 0.7070 -6.2748
-6.2622 -3.3159 5.5661
Er Pm Ho
2 10 2
Cartesian
-3.3570 1.6428 1.8309
-13.0795 0.7738 -1.3494
-4.8065 -0.8315 -0.3401
-6.9365 0.3878 -2.9438
-11.6301 3.2480 0.8215
-8.9049 -1.7956 3.7398
-9.4661 1.6677 -1.1394
-10.9368 -0.4411 1.2714
-5.4998 2.8576 -0.7899
-9.5001 2.0287 3.4252
-6.9705 0.7489 1.6208
-7.5317 4.2122 -3.2583
0.0000 0.0000 0.0000
-3.1311 -1.6579 2.7831
```

Q.
Density functional theory data (PBE-GGA) for a relaxed Pm5HoEr crystal.

Density   5.6 Mg/m³

Cell and atoms, written as POSCAR:
```
Pm5HoEr
1.0
5.8776 0.0000 0.0000
2.9388 7.4600 0.5150
2.9388 1.8407 7.2476
Pm Er Ho
5 1 1
Cartesian
2.9388 4.6503 3.8813
5.8776 6.4684 1.7031
5.8776 2.8323 6.0596
5.8776 6.9539 5.8040
5.8776 2.3468 1.9587
0.0000 0.0000 0.0000
5.8776 4.6503 3.8813
```

Most stable = P

P.
Density functional theory data (PBE-GGA) for a relaxed PmHo2Er2 crystal.

Density   7.5 Mg/m³

Cell and atoms, written as POSCAR:
```
PmHo2Er2
1.0
6.3548 -0.8972 0.0000
-3.3335 5.4842 0.0000
-1.5107 -2.2935 11.2526
Pm Ho Er
2 4 4
Cartesian
3.1774 -0.4486 5.6263
1.5107 2.2935 0.0000
-3.3084 3.8234 5.6263
-0.0251 1.6608 5.6263
-1.6918 4.4029 0.0000
4.7131 0.1841 0.0000
2.3440 0.9224 2.8132
0.6773 3.6645 2.8132
-1.5887 0.2243 8.4395
1.5887 -0.2243 8.4395
```

Q.
Density functional theory data (PBE-GGA) for a relaxed PmHo2Er2 crystal.

Density   8.4 Mg/m³

Cell and atoms, written as POSCAR:
```
PmHo2Er2
1.0
-8.1516 -4.3773 -1.1462
4.5249 -7.8869 -2.0603
-0.0009 -0.9333 3.5708
Ho Er Pm
4 4 2
Cartesian
-1.1384 -9.6361 -2.5189
-5.4350 -6.7849 -1.7747
1.8083 -5.4794 -1.4317
-2.4883 -2.6282 -0.6876
-3.7142 -9.3897 -0.5477
-4.6986 -4.7600 0.6621
1.0710 -8.4375 -0.2977
0.0865 -3.8078 0.9122
0.0000 0.0000 0.0000
-1.8134 -6.1321 -1.6032
```

Most stable = Q

P.
Density functional theory data (PBE-GGA) for a relaxed Pm3Ho2Er4 crystal.

Density   8.3 Mg/m³

Cell and atoms, written as POSCAR:
```
Pm3Ho2Er4
1.0
-0.3693 -5.9606 0.9318
1.5257 -6.5861 -8.9484
9.5800 -5.7918 -0.6752
Pm Ho Er
6 4 8
Cartesian
2.3906 -6.4683 -0.0498
9.8093 -14.6880 -6.4832
4.6398 -7.7601 -5.4218
6.0966 -10.5785 -3.2699
0.9271 -3.6506 -2.2086
8.3459 -11.8702 -8.6420
5.5641 -11.2165 -6.5472
5.1723 -7.1220 -2.1446
7.9447 -8.0197 -4.7574
2.7917 -10.3189 -3.9344
1.8520 -7.0881 -3.3131
7.7398 -8.7506 -0.7983
4.2161 -3.8929 -1.5402
2.9966 -9.5879 -7.8935
8.8844 -11.2504 -5.3787
6.5203 -14.4457 -7.1515
2.0576 -6.3489 -7.2904
8.6788 -11.9897 -1.4014
```

Q.
Density functional theory data (PBE-GGA) for a relaxed Pm3Ho2Er4 crystal.

Density   8.3 Mg/m³

Cell and atoms, written as POSCAR:
```
Pm3Ho2Er4
1.0
6.0938 -0.3969 -0.7365
-3.2099 4.2084 -3.1557
-1.6077 -0.7336 12.6903
Pm Er Ho
3 4 2
Cartesian
0.0000 0.0000 0.0000
1.9539 -0.2429 7.7059
-0.6777 3.3207 1.0922
1.8467 2.4390 5.3502
1.3778 0.4023 11.1485
-0.1016 2.6755 -2.3505
-0.5705 0.6388 3.4479
2.4231 1.7866 1.9035
-1.1469 1.2912 6.8946
```

Most stable = Q

P.
Density functional theory data (PBE-GGA) for a relaxed Pm5HoEr3 crystal.

Density   7.7 Mg/m³

Cell and atoms, written as POSCAR:
```
Pm5HoEr3
1.0
3.5628 -11.2240 -2.7355
3.8116 -7.7310 -8.4769
10.0075 -5.1312 -2.6880
Er Pm Ho
6 10 2
Cartesian
5.0038 -2.5656 -1.3440
14.4371 -18.2652 -11.2393
7.9961 -7.7191 -5.1023
2.9448 -5.8210 -2.6611
9.3858 -16.3671 -8.7981
0.0000 0.0000 0.0000
4.5734 -8.2591 -4.8048
1.2958 -2.9500 -2.4100
6.1421 -11.4197 -5.1943
16.0861 -21.1362 -11.4904
11.2398 -12.6664 -8.7061
7.8034 -13.2808 -7.7199
11.1248 -17.9751 -11.1251
12.8085 -15.8271 -9.0957
9.5786 -10.8054 -6.1805
6.2571 -6.1111 -2.7753
11.1282 -14.2338 -6.1300
6.2538 -9.8524 -7.7704
```

Q.
Density functional theory data (PBE-GGA) for a relaxed Pm5HoEr3 crystal.

Density   7.6 Mg/m³

Cell and atoms, written as POSCAR:
```
Pm5HoEr3
1.0
-8.6347 -2.4423 2.2049
3.2869 -6.6864 5.4656
2.7902 9.1059 1.6508
Pm Er Ho
10 6 2
Cartesian
0.8472 5.8287 1.9616
0.0000 0.0000 0.0000
3.3241 2.7212 4.4816
-2.6739 -4.5644 3.8353
-5.8817 -2.7440 4.8397
-3.1529 3.9622 3.5916
-1.8816 -0.8775 3.2097
0.5953 -3.9850 5.7296
-3.4048 -5.8515 7.3597
-0.6760 0.8547 6.1116
-4.9053 -2.2248 1.9458
-2.6158 -2.2936 6.5783
0.0582 2.2708 2.7430
-5.6806 -6.2521 5.2962
-0.4425 -6.9040 5.7248
0.3328 -2.8766 2.3743
-4.2592 1.0496 3.8455
1.7016 -1.0724 5.4758
```

Most stable = P